An optimized crystal structure of AlWAu2, computed with PBEsol.

Cell: 2.786 2.786 8.182 Å, 90.00 90.00 90.00°
Atoms (fractional coordinates):
Al1 0.000 0.000 0.000
W1 0.500 0.500 0.762
Au1 0.000 0.000 0.515
Au2 0.500 0.500 0.233

- E: -6.442 eV/atom
- Calculated formation energy: 0.0 eV/f.u.

An optimized crystal structure of Mn2TcAu, computed with PBEsol.

Cell: 2.666 3.616 5.398 Å, 90.00 90.00 90.00°
Atoms (fractional coordinates):
Mn1 0.000 0.000 0.000
Mn2 0.500 0.500 0.196
Tc1 0.000 0.000 0.413
Au1 0.500 0.500 0.716

- E: -8.455 eV/atom
- Calculated formation energy: 0.9 eV/f.u.

What did the first record say?
An optimized crystal structure of AlWAu2, computed with PBEsol.

Cell: 2.786 2.786 8.182 Å, 90.00 90.00 90.00°
Atoms (fractional coordinates):
Al1 0.000 0.000 0.000
W1 0.500 0.500 0.762
Au1 0.000 0.000 0.515
Au2 0.500 0.500 0.233

- E: -6.442 eV/atom
- Calculated formation energy: 0.0 eV/f.u.